# 1
First-principles (PBE) data for an optimized crystal structure of Ag2Ir, as listed in Alexandria via LeMat-Bulk.

Lattice parameters (Å, degrees): 5.023 5.023 5.023 149.00 129.47 60.47
Fractional coordinates of all 3 atoms:
1 Ag 0.664 0.664 0.000
2 Ag 0.336 0.336 0.000
3 Ir 0.000 0.000 0.000

- distance to the lowest polymorph of the same formula (kJ/mol of atoms) = 19.2
- ΔH_f (0 K) (eV/atom) = 0.458



# 2
First-principles (PBE) data for an optimized crystal structure of AgIr4, as listed in Alexandria via LeMat-Bulk.

Lattice parameters (Å, degrees): 4.707 4.707 4.707 90.00 90.00 90.00
Site moments in Bohr magnetons follow the coordinates.
Fractional coordinates of all 5 atoms:
1 Ir 0.000 0.000 0.000  1.20
2 Ir 0.500 0.000 0.500  0.89
3 Ir 0.000 0.500 0.500  0.89
4 Ir 0.500 0.500 0.000  0.89
5 Ag 0.500 0.500 0.500  0.04

- distance to the lowest polymorph of the same formula (kJ/mol of atoms) = 246.2
- ΔH_f (0 K) (eV/atom) = 2.841